(1)
Entry from the Alexandria database: a geometry-optimized Tm2ScTl structure (GGA-PBE).

excess energy over the best structure of this formula in the dataset	0.08	eV/f.u.

```
data_Tm2ScTl
_chemical_formula_sum 'Tm2 Sc1 Tl1'
_space_group_name_H-M_alt 'P 4/m m m'
_space_group_IT_number 123
_space_group_name_Hall '-P 4 2'
_cell_length_a 4.7172
_cell_length_b 4.7172
_cell_length_c 4.6811
_cell_angle_alpha 90.00
_cell_angle_beta 90.00
_cell_angle_gamma 90.00
loop_
_atom_site_label
_atom_site_type_symbol
_atom_site_fract_x
_atom_site_fract_y
_atom_site_fract_z
_atom_site_occupancy
Tm1 Tm 0.0000 0.5000 0.0000 1
Sc1 Sc 0.0000 0.0000 0.5000 1
Tl1 Tl 0.5000 0.5000 0.5000 1
```

=====

(2)
Entry from the Alexandria database: a geometry-optimized LaCe2PmP4 structure (GGA-PBE).

```
data_LaCe2PmP4
_chemical_formula_sum 'La1 Ce2 Pm1 P4'
_space_group_name_H-M_alt 'P 1 2/m 1'
_space_group_IT_number 10
_space_group_name_Hall '-P 2y'
_cell_length_a 7.1788
_cell_length_b 4.1433
_cell_length_c 7.1811
_cell_angle_alpha 90.00
_cell_angle_beta 109.44
_cell_angle_gamma 90.00
loop_
_atom_site_label
_atom_site_type_symbol
_atom_site_fract_x
_atom_site_fract_y
_atom_site_fract_z
_atom_site_occupancy
La1 La 0.0000 0.0000 0.0000 1
Ce1 Ce 0.0000 0.5000 0.5000 1
Ce2 Ce 0.5000 0.0000 0.5000 1
Pm1 Pm 0.5000 0.5000 0.0000 1
P1 P 0.2507 0.0000 0.7422 1
P2 P 0.2570 0.5000 0.2606 1
```

=====

(3)
Entry from the Alexandria database: a geometry-optimized Na17In11Ge structure (GGA-PBE).

```
data_Na17In11Ge
_chemical_formula_sum 'Na34 In22 Ge2'
_space_group_name_H-M_alt 'C 1 m 1'
_space_group_IT_number 8
_space_group_name_Hall 'C -2y'
_cell_length_a 11.7314
_cell_length_b 16.5982
_cell_length_c 10.1634
_cell_angle_alpha 90.00
_cell_angle_beta 125.18
_cell_angle_gamma 90.00
loop_
_atom_site_label
_atom_site_type_symbol
_atom_site_fract_x
_atom_site_fract_y
_atom_site_fract_z
_atom_site_occupancy
Na1 Na 0.0000 0.0000 0.0000 1
Na2 Na 0.0032 0.0000 0.6518 1
Na3 Na 0.0190 0.2953 0.3106 1
Na4 Na 0.0544 0.3621 0.9995 1
Na5 Na 0.1008 0.5000 0.2739 1
Na6 Na 0.2056 0.2052 0.6855 1
Na7 Na 0.3130 0.0000 0.7167 1
Na8 Na 0.3285 0.3283 0.0002 1
Na9 Na 0.3446 0.3476 0.4026 1
Na10 Na 0.3523 0.0000 0.3446 1
Na11 Na 0.4359 0.1555 0.5880 1
In1 In 0.0003 0.1849 0.8124 1
In2 In 0.0859 0.0913 0.3625 1
In3 In 0.1365 0.5000 0.8256 1
In4 In 0.1887 0.1852 0.1865 1
In5 In 0.2241 0.4084 0.6272 1
In6 In 0.2801 0.0925 0.9981 1
Ge1 Ge 0.3218 0.5000 0.1810 1
```

=====

| no. | ΔH_f (0 K) (eV per atom) |
| --- | --- |
| 1 | -0.16 |
| 2 | -1.53 |
| 3 | -0.11 |